La2Tb3Sm6Dy: optimized geometry, GGA-PBE.

Calculated values
formation energy from the elements = 19.0 meV/atom
DFT total energy = -4.703 eV/atom
SG = C2/m, No. 12

Cell lengths 6.283, 6.283, 12.031 Å; angles 95.01, 95.01, 120.00 degrees
Fractional coordinates of all 12 atoms:
La: 0.667 0.333 0.000
La: 0.333 0.667 0.000
Tb: 0.834 0.166 0.500
Tb: 0.166 0.834 0.500
Tb: 0.500 0.500 0.500
Sm: 0.247 0.247 0.746
Sm: 0.417 0.085 0.254
Sm: 0.915 0.583 0.746
Sm: 0.753 0.753 0.254
Sm: 0.583 0.915 0.746
Sm: 0.085 0.417 0.254
Dy: 0.000 0.000 0.000